1.
CoBiW4C2: optimized geometry, PBE.

Calculated values
The total energy is -78.3 eV per formula unit.

Unit cell a=3.1106 b=3.1106 c=13.8120 alpha=90.00 beta=90.00 gamma=120.00
Space group P-6m2 (No. 187)
Inequivalent atoms, fractional coordinates:
Co 0.0000 0.0000 0.0000 [1 per cell]
Bi 0.3333 0.6667 0.5000 [1 per cell]
W 0.0000 0.0000 0.3025 [2 per cell]
W 0.3333 0.6667 0.1363 [2 per cell]
C 0.6667 0.3333 0.2233 [2 per cell]

=====

2.
Y4CoBiC2: optimized geometry, PBE.

Calculated values
The total energy is -57.7 eV per formula unit.

Unit cell a=3.6384 b=3.6384 c=14.6582 alpha=90.00 beta=90.00 gamma=120.00
Space group P-6m2 (No. 187)
Inequivalent atoms, fractional coordinates:
Y 0.0000 0.0000 0.1332 [2 per cell]
Y 0.6667 0.3333 0.3173 [2 per cell]
Co 0.6667 0.3333 0.0000 [1 per cell]
Bi 0.0000 0.0000 0.5000 [1 per cell]
C 0.3333 0.6667 0.2325 [2 per cell]

=====

3.
Hf4CuBiC2: optimized geometry, PBE.

Calculated values
The total energy is -70.1 eV per formula unit.

Unit cell a=3.3419 b=3.3419 c=13.9659 alpha=90.00 beta=90.00 gamma=120.00
Space group P-6m2 (No. 187)
Inequivalent atoms, fractional coordinates:
Hf 0.0000 0.0000 0.1460 [2 per cell]
Hf 0.6667 0.3333 0.3236 [2 per cell]
Cu 0.6667 0.3333 0.0000 [1 per cell]
Bi 0.0000 0.0000 0.5000 [1 per cell]
C 0.3333 0.6667 0.2373 [2 per cell]